Entry 1:
A relaxed structure of Y2Mg2Cu. Source: the Alexandria database, functional PBE.

## Properties
Relative energy among the computed polymorphs: 76 meV/atom
Energy: -4.079 eV/atom
Calculated density: 3.942 g cm⁻³
Total moment: 0.00 μB per atom

a b c (Å): 6.4976 6.4976 6.4976
angles (deg): 150.37 113.89 74.09
Closest atoms and distances in Å follow each position.
Sites, in units of the cell vectors:
Mg1 0.2937 0.5000 0.7937  2 Cu 2.66, 1 Mg 2.92
Y1 0.7533 0.2533 0.5000  2 Cu 3.05, 2 Mg 3.30, 2 Y 3.32
Y2 0.2467 0.7467 0.5000  2 Cu 3.05, 2 Mg 3.30, 2 Y 3.32
Cu1 0.0000 0.0000 0.0000  4 Mg 2.66
Mg2 0.7063 0.5000 0.2063  2 Cu 2.66, 1 Mg 2.92

---

Entry 2:
A relaxed structure of Y2Mg2Cu. Source: the Alexandria database, functional PBE.

## Properties
Relative energy among the computed polymorphs: 163 meV/atom
Energy: -3.991 eV/atom
Calculated density: 3.915 g cm⁻³
Total moment: 0.00 μB per atom

a b c (Å): 6.8708 6.8708 5.2110
angles (deg): 90.00 90.00 90.00
Closest atoms and distances in Å follow each position.
Sites, in units of the cell vectors:
Y1 0.3292 0.1708 0.5000  6 Mg 3.16-3.40, 1 Y 3.32
Cu1 0.5000 0.5000 0.0000  4 Mg 2.63
Y2 0.8292 0.3292 0.5000  6 Mg 3.16-3.40, 1 Y 3.32
Mg1 0.1461 0.3539 0.0000  2 Cu 2.63, 1 Mg 2.84
Y3 0.6708 0.8292 0.5000  6 Mg 3.16-3.40, 1 Y 3.32
Mg2 0.6461 0.1461 0.0000  2 Cu 2.63, 1 Mg 2.84
Mg3 0.8539 0.6461 0.0000  2 Cu 2.63, 1 Mg 2.84
Y4 0.1708 0.6708 0.5000  6 Mg 3.16-3.40, 1 Y 3.32
Cu2 0.0000 0.0000 0.0000  4 Mg 2.63
Mg4 0.3539 0.8539 0.0000  2 Cu 2.63, 1 Mg 2.84

---

Entry 3:
A relaxed structure of Y2MgCu16. Source: the Alexandria database, functional PBE.

## Properties
Energy: -4.354 eV/atom
Calculated density: 7.500 g cm⁻³
Total moment: 0.00 μB per atom

a b c (Å): 6.5115 6.5115 6.5115
angles (deg): 82.68 82.68 82.68
Closest atoms and distances in Å follow each position.
Sites, in units of the cell vectors:
Cu1 0.7005 0.0006 0.3006  8 Cu 2.47-2.63
Y1 0.3406 0.3406 0.3406  19 Cu 2.96-3.30
Mg1 0.9066 0.9066 0.9066  7 Cu 2.53-2.74
Cu2 0.3447 0.8453 0.3447  9 Cu 2.48-2.64
Cu3 0.6519 0.1581 0.6519  8 Cu 2.49-2.63, 1 Mg 2.74
Cu4 0.8453 0.3447 0.3447  9 Cu 2.48-2.64
Y2 0.6471 0.6471 0.6471  15 Cu 3.02-3.34, 1 Mg 3.28
Cu5 0.6519 0.6519 0.1581  8 Cu 2.49-2.63, 1 Mg 2.74
Cu6 0.7005 0.3006 0.0006  8 Cu 2.47-2.63
Cu7 0.0011 0.4967 0.0011  9 Cu 2.47-2.57, 1 Mg 2.67
Cu8 0.3006 0.7005 0.0006  8 Cu 2.47-2.63
Cu9 0.3006 0.0006 0.7005  8 Cu 2.47-2.63
Cu10 0.1581 0.6519 0.6519  8 Cu 2.49-2.63, 1 Mg 2.74
Cu11 0.0006 0.7005 0.3006  8 Cu 2.47-2.63
Cu12 0.3447 0.3447 0.8453  9 Cu 2.48-2.64
Cu13 0.0011 0.0011 0.4967  9 Cu 2.47-2.57, 1 Mg 2.67
Cu14 0.0006 0.3006 0.7005  8 Cu 2.47-2.63
Cu15 0.1067 0.1067 0.1067  1 Mg 2.53, 6 Cu 2.57-2.64
Cu16 0.4967 0.0011 0.0011  9 Cu 2.47-2.57, 1 Mg 2.67

---

no.,ΔH_f (0 K) (meV per atom)
1,-36
2,51
3,-140